Entry from Alexandria: an optimized crystal structure of ErReTc (PBE).

Values from the calculation:
polymorph energy (0 for the lowest one) = 0.000 eV/atom
E_form = -0.24 eV per atom
density = 13.6 g cm⁻³

```
ErReTc
1.0
8.724 0.000 0.000
0.000 2.691 4.698
0.000 -2.691 4.698
Er Re Tc
4 4 4
Direct
0.188 0.000 0.000 Er
0.312 0.333 0.333 Er
0.688 0.333 0.333 Er
0.812 0.000 0.000 Er
0.000 0.007 0.495 Re
0.000 0.495 0.007 Re
0.251 0.667 0.667 Re
0.749 0.667 0.667 Re
0.000 0.494 0.494 Tc
0.500 0.323 0.839 Tc
0.500 0.838 0.838 Tc
0.500 0.839 0.323 Tc
```